First-principles (GGA-PBE) data for a geometry-optimized SrTl3Ag structure, as listed in Alexandria.

```
data_SrTl3Ag
_chemical_formula_sum 'Sr1 Tl3 Ag1'
_cell_length_a 6.246
_cell_length_b 6.246
_cell_length_c 6.246
_cell_angle_alpha 90.00
_cell_angle_beta 90.00
_cell_angle_gamma 90.00
_symmetry_space_group_name_H-M 'P 1'
_symmetry_Int_Tables_number 1
loop_
_symmetry_equiv_pos_as_xyz
'x,y,z'
loop_
_atom_site_label
_atom_site_fract_x
_atom_site_fract_y
_atom_site_fract_z
_atom_site_occupancy
Sr1 0.000 0.000 0.000 1
Tl1 0.000 0.000 0.500 1
Tl2 0.000 0.500 0.000 1
Tl3 0.500 0.000 0.000 1
Ag1 0.500 0.500 0.500 1
```

Its volume is 243.7 Å³/cell. For the formation energy, the calculation gives 0.7526 eV per atom.

---

First-principles (GGA-PBE) data for a geometry-optimized SrTaO structure, as listed in Alexandria.

```
data_SrTaO
_chemical_formula_sum 'Sr2 Ta2 O2'
_cell_length_a 3.286
_cell_length_b 3.286
_cell_length_c 11.712
_cell_angle_alpha 90.00
_cell_angle_beta 90.00
_cell_angle_gamma 120.00
_symmetry_space_group_name_H-M 'P 1'
_symmetry_Int_Tables_number 1
loop_
_symmetry_equiv_pos_as_xyz
'x,y,z'
loop_
_atom_site_label
_atom_site_fract_x
_atom_site_fract_y
_atom_site_fract_z
_atom_site_occupancy
Sr1 0.000 0.000 0.138 1
Sr2 0.000 0.000 0.862 1
Ta1 0.333 0.667 0.385 1
Ta2 0.333 0.667 0.615 1
O1 0.667 0.333 0.000 1
O2 0.667 0.333 0.500 1
```

The energy relative to the elements, uncorrected is -0.81 eV per atom. Its volume is 109.5 Å³/cell.

---

First-principles (GGA-PBE) data for a geometry-optimized Ti2PdAu2 structure, as listed in Alexandria.

```
data_Ti2PdAu2
_chemical_formula_sum 'Ti4 Pd2 Au4'
_cell_length_a 4.954
_cell_length_b 4.954
_cell_length_c 9.484
_cell_angle_alpha 92.22
_cell_angle_beta 92.22
_cell_angle_gamma 45.48
_symmetry_space_group_name_H-M 'P 1'
_symmetry_Int_Tables_number 1
loop_
_symmetry_equiv_pos_as_xyz
'x,y,z'
loop_
_atom_site_label
_atom_site_fract_x
_atom_site_fract_y
_atom_site_fract_z
_atom_site_occupancy
Ti1 0.050 0.050 0.352 1
Ti2 0.156 0.156 0.064 1
Ti3 0.844 0.844 0.936 1
Ti4 0.950 0.950 0.648 1
Pd1 0.250 0.250 0.759 1
Pd2 0.750 0.750 0.241 1
Au1 0.351 0.351 0.449 1
Au2 0.453 0.453 0.145 1
Au3 0.547 0.547 0.855 1
Au4 0.649 0.649 0.551 1
```

Its volume is 165.8 Å³/cell. For the formation energy, the calculation gives -0.4511 eV per atom.

---

First-principles (GGA-PBE) data for a geometry-optimized CaCu2Pd6 structure, as listed in Alexandria.

```
data_CaCu2Pd6
_chemical_formula_sum 'Ca1 Cu2 Pd6'
_cell_length_a 4.676
_cell_length_b 4.676
_cell_length_c 9.150
_cell_angle_alpha 90.00
_cell_angle_beta 90.00
_cell_angle_gamma 120.00
_symmetry_space_group_name_H-M 'P 1'
_symmetry_Int_Tables_number 1
loop_
_symmetry_equiv_pos_as_xyz
'x,y,z'
loop_
_atom_site_label
_atom_site_fract_x
_atom_site_fract_y
_atom_site_fract_z
_atom_site_occupancy
Ca1 0.000 0.000 0.000 1
Cu1 0.333 0.667 0.500 1
Cu2 0.667 0.333 0.500 1
Pd1 0.000 0.335 0.730 1
Pd2 0.000 0.665 0.270 1
Pd3 0.335 0.000 0.730 1
Pd4 0.335 0.335 0.270 1
Pd5 0.665 0.000 0.270 1
Pd6 0.665 0.665 0.730 1
```

Its volume is 173.3 Å³/cell. For the formation energy, the calculation gives -0.0459 eV per atom.

---

First-principles (GGA-PBE) data for a geometry-optimized La2PrYTh structure, as listed in Alexandria.

```
data_La2PrYTh
_chemical_formula_sum 'La4 Pr2 Y2 Th2'
_cell_length_a 6.382
_cell_length_b 5.928
_cell_length_c 9.856
_cell_angle_alpha 90.00
_cell_angle_beta 108.87
_cell_angle_gamma 90.00
_symmetry_space_group_name_H-M 'P 1'
_symmetry_Int_Tables_number 1
loop_
_symmetry_equiv_pos_as_xyz
'x,y,z'
loop_
_atom_site_label
_atom_site_fract_x
_atom_site_fract_y
_atom_site_fract_z
_atom_site_occupancy
La1 0.070 0.250 0.314 1
La2 0.138 0.750 0.110 1
La3 0.862 0.250 0.890 1
La4 0.930 0.750 0.686 1
Pr1 0.478 0.250 0.104 1
Pr2 0.522 0.750 0.896 1
Y1 0.260 0.250 0.690 1
Y2 0.740 0.750 0.310 1
Th1 0.355 0.750 0.506 1
Th2 0.645 0.250 0.494 1
```

Its volume is 352.9 Å³/cell. For the formation energy, the calculation gives 0.0561 eV per atom.